(1)
PrGe2Ir3 | PBE | relaxed

Results
As for the symmetry: C2/m (12). The total energy comes out at -7.3706 eV/atom. The density comes out at 13337 kg/m³. The magnetic moment is 0.000 μB per formula unit.

a = 8.5027 Å, b = 8.5027 Å, c = 10.0015 Å
α = 107.20°, β = 107.20°, γ = 27.90°
Atoms (fractional coordinates):
Pr: 0.0000 0.0000 0.0000
Pr: 0.1598 0.1598 0.7022
Pr: 0.8402 0.8402 0.2978
Ge: 0.1967 0.1967 0.1279
Ge: 0.3615 0.3615 0.5455
Ge: 0.4647 0.4647 0.2219
Ge: 0.5353 0.5353 0.7781
Ge: 0.6385 0.6385 0.4545
Ge: 0.8033 0.8033 0.8721
Ir: 0.0436 0.0436 0.3335
Ir: 0.2172 0.2172 0.3927
Ir: 0.3234 0.3234 0.0400
Ir: 0.3764 0.3764 0.7978
Ir: 0.5000 0.5000 0.5000
Ir: 0.6236 0.6236 0.2022
Ir: 0.6766 0.6766 0.9600
Ir: 0.7828 0.7828 0.6073
Ir: 0.9564 0.9564 0.6665

***

(2)
Pr4Ge3Ir | PBE | relaxed

Results
As for the symmetry: Pmm2 (25). The total energy comes out at -5.9900 eV/atom. The density comes out at 7913 kg/m³. The magnetic moment is 0.000 μB per formula unit.

a = 4.1607 Å, b = 4.4120 Å, c = 11.1313 Å
α = 90.00°, β = 90.00°, γ = 90.00°
Atoms (fractional coordinates):
Pr: 0.0000 0.0000 0.0000
Pr: 0.0000 0.5000 0.4851
Pr: 0.5000 0.0000 0.7089
Pr: 0.5000 0.5000 0.2165
Ge: 0.0000 0.5000 0.7711
Ge: 0.5000 0.0000 0.4238
Ge: 0.5000 0.5000 0.9270
Ir: 0.0000 0.0000 0.2779

***

(3)
Pr2Ge4Ir3 | PBE | relaxed

Results
The calculation puts the excess energy over the best structure of this formula in the dataset at 73 meV per atom. As for the symmetry: Fmmm (69). The density comes out at 10811 kg/m³. The magnetic moment is 0.000 μB per formula unit.

a = 8.0009 Å, b = 6.8881 Å, c = 5.7124 Å
α = 78.22°, β = 57.44°, γ = 44.34°
Atoms (fractional coordinates):
Pr: 0.1322 0.1322 0.8678
Pr: 0.8678 0.8678 0.1322
Ge: 0.1752 0.5129 0.4871
Ge: 0.4871 0.8248 0.1752
Ge: 0.5129 0.1752 0.8248
Ge: 0.8248 0.4871 0.5129
Ir: 0.0000 0.0000 0.5000
Ir: 0.5000 0.5000 0.0000
Ir: 0.5000 0.5000 0.5000

***

(4)
PrGe4Ir6 | PBE | relaxed

Results
As for the symmetry: P-6m2 (187). The total energy comes out at -7.4382 eV/atom. The density comes out at 14670 kg/m³. The magnetic moment is 0.000 μB per formula unit.

a = 7.2361 Å, b = 7.2361 Å, c = 3.9560 Å
α = 90.00°, β = 90.00°, γ = 120.00°
Atoms (fractional coordinates):
Pr: 0.0000 0.0000 0.0000
Ge: 0.3333 0.6667 0.0000
Ge: 0.3917 0.1958 0.5000
Ge: 0.8042 0.1958 0.5000
Ge: 0.8042 0.6083 0.5000
Ir: 0.2006 0.4011 0.5000
Ir: 0.2006 0.7994 0.5000
Ir: 0.5338 0.0675 0.0000
Ir: 0.5338 0.4662 0.0000
Ir: 0.5989 0.7994 0.5000
Ir: 0.9325 0.4662 0.0000

***

(5)
PrGe4Ir | PBE | relaxed

Results
As for the symmetry: C2/c (15). The total energy comes out at -5.7704 eV/atom. The density comes out at 8376 kg/m³. The magnetic moment is 0.000 μB per formula unit.

a = 6.5086 Å, b = 6.5086 Å, c = 6.8907 Å
α = 96.07°, β = 96.07°, γ = 58.59°
Atoms (fractional coordinates):
Pr: 0.1008 0.8992 0.7500
Pr: 0.8992 0.1008 0.2500
Ge: 0.1243 0.3645 0.6413
Ge: 0.3236 0.5771 0.0890
Ge: 0.3645 0.1243 0.1413
Ge: 0.4229 0.6764 0.4110
Ge: 0.5771 0.3236 0.5890
Ge: 0.6355 0.8757 0.8587
Ge: 0.6764 0.4229 0.9110
Ge: 0.8757 0.6355 0.3587
Ir: 0.0000 0.5000 0.0000
Ir: 0.5000 0.0000 0.5000

***

(6)
Pr2Ge3Ir5 | PBE | relaxed

Results
As for the symmetry: Cmc2_1 (36). The total energy comes out at -7.2486 eV/atom. The density comes out at 13364 kg/m³. The magnetic moment is 0.000 μB per formula unit.

a = 12.5116 Å, b = 12.5116 Å, c = 6.9007 Å
α = 90.00°, β = 90.00°, γ = 160.36°
Atoms (fractional coordinates):
Pr: 0.0229 0.9771 0.5000
Pr: 0.3240 0.6760 0.4852
Pr: 0.6760 0.3240 0.9852
Pr: 0.9771 0.0229 0.0000
Ge: 0.1110 0.8890 0.7830
Ge: 0.2667 0.7333 0.9722
Ge: 0.4514 0.5486 0.6993
Ge: 0.5486 0.4514 0.1993
Ge: 0.7333 0.2667 0.4722
Ge: 0.8890 0.1110 0.2830
Ir: 0.1015 0.8985 0.1618
Ir: 0.2059 0.7941 0.6685
Ir: 0.2089 0.7911 0.2723
Ir: 0.3661 0.6339 0.9328
Ir: 0.4429 0.5571 0.3324
Ir: 0.5571 0.4429 0.8324
Ir: 0.6339 0.3661 0.4328
Ir: 0.7911 0.2089 0.7723
Ir: 0.7941 0.2059 0.1685
Ir: 0.8985 0.1015 0.6618

***

(7)
PrGe3Ir3 | PBE | relaxed

Results
The calculation puts the excess energy over the best structure of this formula in the dataset at 0 meV per atom. As for the symmetry: R-3 (148). The density comes out at 10516 kg/m³. The magnetic moment is 0.000 μB per formula unit.

a = 8.1821 Å, b = 8.1821 Å, c = 8.1821 Å
α = 49.96°, β = 49.96°, γ = 49.96°
Atoms (fractional coordinates):
Pr: 0.1716 0.1716 0.1716
Pr: 0.8284 0.8284 0.8284
Ge: 0.0884 0.6382 0.4536
Ge: 0.3618 0.5464 0.9116
Ge: 0.4536 0.0884 0.6382
Ge: 0.5464 0.9116 0.3618
Ge: 0.6382 0.4536 0.0884
Ge: 0.9116 0.3618 0.5464
Ir: 0.0421 0.3052 0.8146
Ir: 0.1854 0.9579 0.6948
Ir: 0.3052 0.8146 0.0421
Ir: 0.6948 0.1854 0.9579
Ir: 0.8146 0.0421 0.3052
Ir: 0.9579 0.6948 0.1854

***

(8)
Pr4Ge6Ir7 | PBE | relaxed

Results
As for the symmetry: Im-3m (229). The total energy comes out at -7.1339 eV/atom. The density comes out at 12222 kg/m³. The magnetic moment is 0.000 μB per formula unit.

a = 7.4523 Å, b = 7.4523 Å, c = 7.4523 Å
α = 109.47°, β = 109.47°, γ = 109.47°
Atoms (fractional coordinates):
Pr: 0.0000 0.0000 0.5000
Pr: 0.0000 0.5000 0.0000
Pr: 0.5000 0.0000 0.0000
Pr: 0.5000 0.5000 0.5000
Ge: 0.0000 0.3262 0.3262
Ge: 0.0000 0.6738 0.6738
Ge: 0.3262 0.0000 0.3262
Ge: 0.3262 0.3262 0.0000
Ge: 0.6738 0.0000 0.6738
Ge: 0.6738 0.6738 0.0000
Ir: 0.0000 0.0000 0.0000
Ir: 0.2500 0.5000 0.7500
Ir: 0.2500 0.7500 0.5000
Ir: 0.5000 0.2500 0.7500
Ir: 0.5000 0.7500 0.2500
Ir: 0.7500 0.2500 0.5000
Ir: 0.7500 0.5000 0.2500

***

(9)
Pr3Ge3Ir2 | PBE | relaxed

Results
The calculation puts the excess energy over the best structure of this formula in the dataset at 0 meV per atom. As for the symmetry: Cmcm (63). The density comes out at 9467 kg/m³. The magnetic moment is 0.000 μB per formula unit.

a = 5.9563 Å, b = 5.9563 Å, c = 14.7774 Å
α = 90.00°, β = 90.00°, γ = 136.69°
Atoms (fractional coordinates):
Pr: 0.0807 0.9193 0.6094
Pr: 0.0807 0.9193 0.8906
Pr: 0.3576 0.6424 0.7500
Pr: 0.6424 0.3576 0.2500
Pr: 0.9193 0.0807 0.1094
Pr: 0.9193 0.0807 0.3906
Ge: 0.3385 0.6615 0.2500
Ge: 0.3630 0.6370 0.5355
Ge: 0.3630 0.6370 0.9645
Ge: 0.6370 0.3630 0.0355
Ge: 0.6370 0.3630 0.4645
Ge: 0.6615 0.3385 0.7500
Ir: 0.2039 0.7961 0.1025
Ir: 0.2039 0.7961 0.3975
Ir: 0.7961 0.2039 0.6025
Ir: 0.7961 0.2039 0.8975

***

(10)
PrGe4Ir2 | PBE | relaxed

Results
As for the symmetry: Pnma (62). The total energy comes out at -6.4423 eV/atom. The density comes out at 10625 kg/m³. The magnetic moment is 0.000 μB per formula unit.

a = 17.5869 Å, b = 4.2973 Å, c = 6.7493 Å
α = 90.00°, β = 90.00°, γ = 90.00°
Atoms (fractional coordinates):
Pr: 0.1415 0.2500 0.0049
Pr: 0.3585 0.7500 0.5049
Pr: 0.6415 0.2500 0.4951
Pr: 0.8585 0.7500 0.9951
Ge: 0.0321 0.7500 0.1370
Ge: 0.0661 0.2500 0.5313
Ge: 0.1816 0.7500 0.6986
Ge: 0.1944 0.7500 0.2851
Ge: 0.3056 0.2500 0.7851
Ge: 0.3184 0.2500 0.1986
Ge: 0.4339 0.7500 0.0313
Ge: 0.4679 0.2500 0.6370
Ge: 0.5321 0.7500 0.3630
Ge: 0.5661 0.2500 0.9687
Ge: 0.6816 0.7500 0.8014
Ge: 0.6944 0.7500 0.2149
Ge: 0.8056 0.2500 0.7149
Ge: 0.8184 0.2500 0.3014
Ge: 0.9339 0.7500 0.4687
Ge: 0.9679 0.2500 0.8630
Ir: 0.0319 0.7500 0.7466
Ir: 0.2099 0.2500 0.4897
Ir: 0.2901 0.7500 0.9897
Ir: 0.4681 0.2500 0.2466
Ir: 0.5319 0.7500 0.7534
Ir: 0.7099 0.2500 0.0103
Ir: 0.7901 0.7500 0.5103
Ir: 0.9681 0.2500 0.2534

***

(11)
PrGeIr | PBE | relaxed

Results
As for the symmetry: P-6m2 (187). The total energy comes out at -6.8206 eV/atom. The density comes out at 10201 kg/m³. The magnetic moment is 0.000 μB per formula unit.

a = 4.3414 Å, b = 4.3414 Å, c = 4.0465 Å
α = 90.00°, β = 90.00°, γ = 120.00°
Atoms (fractional coordinates):
Pr: 0.0000 0.0000 0.0000
Ge: 0.3333 0.6667 0.5000
Ir: 0.6667 0.3333 0.5000

***

(12)
PrGe2Ir2 | PBE | relaxed

Results
As for the symmetry: P4/nmm (129). The total energy comes out at -7.1189 eV/atom. The density comes out at 11839 kg/m³. The magnetic moment is 0.000 μB per formula unit.

a = 4.2993 Å, b = 4.2993 Å, c = 10.1772 Å
α = 90.00°, β = 90.00°, γ = 90.00°
Atoms (fractional coordinates):
Pr: 0.2500 0.2500 0.2448
Pr: 0.7500 0.7500 0.7552
Ge: 0.2500 0.2500 0.6311
Ge: 0.2500 0.7500 0.0000
Ge: 0.7500 0.2500 0.0000
Ge: 0.7500 0.7500 0.3689
Ir: 0.2500 0.2500 0.8734
Ir: 0.2500 0.7500 0.5000
Ir: 0.7500 0.2500 0.5000
Ir: 0.7500 0.7500 0.1266

***

(13)
Pr2Ge3Ir3 | PBE | relaxed

Results
As for the symmetry: P4/mmm (123). The total energy comes out at -5.5403 eV/atom. The density comes out at 10109 kg/m³. The magnetic moment is 0.000 μB per formula unit.

a = 2.9037 Å, b = 2.9037 Å, c = 20.9709 Å
α = 90.00°, β = 90.00°, γ = 90.00°
Atoms (fractional coordinates):
Pr: 0.0000 0.0000 0.2409
Pr: 0.0000 0.0000 0.7591
Ge: 0.0000 0.0000 0.0000
Ge: 0.0000 0.0000 0.3863
Ge: 0.0000 0.0000 0.6137
Ir: 0.0000 0.0000 0.1131
Ir: 0.0000 0.0000 0.5000
Ir: 0.0000 0.0000 0.8869

***

(14)
Pr2Ge4Ir3Pt | PBE | relaxed

Results
As for the symmetry: P-4m2 (115). The total energy comes out at -6.8584 eV/atom. The density comes out at 11769 kg/m³. The magnetic moment is 0.000 μB per formula unit.

a = 4.2930 Å, b = 4.2930 Å, c = 10.2907 Å
α = 90.00°, β = 90.00°, γ = 90.00°
Atoms (fractional coordinates):
Pr: 0.0000 0.5000 0.2408
Pr: 0.5000 0.0000 0.7592
Ge: 0.0000 0.0000 0.0000
Ge: 0.0000 0.5000 0.6367
Ge: 0.5000 0.0000 0.3633
Ge: 0.5000 0.5000 0.0000
Ir: 0.0000 0.5000 0.8743
Ir: 0.5000 0.0000 0.1257
Ir: 0.5000 0.5000 0.5000
Pt: 0.0000 0.0000 0.5000

***

(15)
PrGe3IrPt | PBE | relaxed

Results
As for the symmetry: Cmcm (63). The total energy comes out at -6.0392 eV/atom. The density comes out at 9123 kg/m³. The magnetic moment is 0.000 μB per formula unit.

a = 7.8963 Å, b = 7.8963 Å, c = 6.1051 Å
α = 90.00°, β = 90.00°, γ = 134.48°
Atoms (fractional coordinates):
Pr: 0.1845 0.8155 0.7500
Pr: 0.8155 0.1845 0.2500
Ge: 0.2463 0.2463 0.0000
Ge: 0.2463 0.2463 0.5000
Ge: 0.2479 0.7521 0.2500
Ge: 0.7521 0.2479 0.7500
Ge: 0.7537 0.7537 0.0000
Ge: 0.7537 0.7537 0.5000
Ir: 0.0867 0.9133 0.2500
Ir: 0.9133 0.0867 0.7500
Pt: 0.4129 0.5871 0.2500
Pt: 0.5871 0.4129 0.7500

***

(16)
Pr3Ge6IrPt2 | PBE | relaxed

Results
As for the symmetry: P-3m1 (164). The total energy comes out at -5.6643 eV/atom. The density comes out at 9321 kg/m³. The magnetic moment is 0.000 μB per formula unit.

a = 6.0669 Å, b = 6.0669 Å, c = 8.0533 Å
α = 90.00°, β = 90.00°, γ = 120.00°
Atoms (fractional coordinates):
Pr: 0.0000 0.0000 0.0000
Pr: 0.3333 0.6667 0.6576
Pr: 0.6667 0.3333 0.3424
Ge: 0.1903 0.3805 0.3017
Ge: 0.1903 0.8097 0.3017
Ge: 0.3805 0.1903 0.6983
Ge: 0.6195 0.8097 0.3017
Ge: 0.8097 0.1903 0.6983
Ge: 0.8097 0.6195 0.6983
Ir: 0.0000 0.0000 0.5000
Pt: 0.3333 0.6667 0.0352
Pt: 0.6667 0.3333 0.9648

***

(17)
PrGe2Ir2Pt | PBE | relaxed

Results
As for the symmetry: P4/mmm (123). The total energy comes out at -6.3969 eV/atom. The density comes out at 11715 kg/m³. The magnetic moment is 0.000 μB per formula unit.

a = 4.6865 Å, b = 4.6865 Å, c = 5.5871 Å
α = 90.00°, β = 90.00°, γ = 90.00°
Atoms (fractional coordinates):
Pr: 0.0000 0.0000 0.0000
Ge: 0.0000 0.5000 0.5000
Ge: 0.5000 0.0000 0.5000
Ir: 0.5000 0.5000 0.2335
Ir: 0.5000 0.5000 0.7665
Pt: 0.0000 0.0000 0.5000

***

(18)
PrGe2IrRh | PBE | relaxed

Results
As for the symmetry: I-4m2 (119). The total energy comes out at -6.8780 eV/atom. The density comes out at 10355 kg/m³. The magnetic moment is 0.000 μB per formula unit.

a = 6.0658 Å, b = 6.0658 Å, c = 6.0658 Å
α = 139.51°, β = 139.51°, γ = 58.59°
Atoms (fractional coordinates):
Pr: 0.0000 0.0000 0.0000
Ge: 0.3755 0.3755 0.0000
Ge: 0.6245 0.6245 0.0000
Ir: 0.2500 0.7500 0.5000
Rh: 0.7500 0.2500 0.5000

***

(19)
Pr2Ge4IrRh3 | PBE | relaxed

Results
As for the symmetry: P-4m2 (115). The total energy comes out at -6.7397 eV/atom. The density comes out at 9554 kg/m³. The magnetic moment is 0.000 μB per formula unit.

a = 4.2921 Å, b = 4.2921 Å, c = 10.1269 Å
α = 90.00°, β = 90.00°, γ = 90.00°
Atoms (fractional coordinates):
Pr: 0.0000 0.5000 0.2441
Pr: 0.5000 0.0000 0.7559
Ge: 0.0000 0.0000 0.0000
Ge: 0.0000 0.5000 0.6306
Ge: 0.5000 0.0000 0.3694
Ge: 0.5000 0.5000 0.0000
Ir: 0.0000 0.0000 0.5000
Rh: 0.0000 0.5000 0.8740
Rh: 0.5000 0.0000 0.1260
Rh: 0.5000 0.5000 0.5000

***

(20)
Pr2Ge4Ir3Rh | PBE | relaxed

Results
As for the symmetry: P-4m2 (115). The total energy comes out at -7.0006 eV/atom. The density comes out at 11056 kg/m³. The magnetic moment is 0.000 μB per formula unit.

a = 4.3063 Å, b = 4.3063 Å, c = 10.1393 Å
α = 90.00°, β = 90.00°, γ = 90.00°
Atoms (fractional coordinates):
Pr: 0.0000 0.5000 0.2443
Pr: 0.5000 0.0000 0.7557
Ge: 0.0000 0.0000 0.0000
Ge: 0.0000 0.5000 0.6300
Ge: 0.5000 0.0000 0.3700
Ge: 0.5000 0.5000 0.0000
Ir: 0.0000 0.5000 0.8733
Ir: 0.5000 0.0000 0.1267
Ir: 0.5000 0.5000 0.5000
Rh: 0.0000 0.0000 0.5000